Entry 1:
VASP calculation (PBE) on TmThMg17 after structural relaxation.

## Properties
* M_tot: 0.00 μB/cell
* V: 456.10 Å³/cell
* calculated formation energy: 11 meV per atom

Cell lengths 7.765, 7.765, 7.765 Å; angles 82.14, 82.14, 82.14 degrees
Fractional positions:
Tm: 0.000 0.000 0.000
Th: 0.341 0.341 0.341
Mg: 0.022 0.022 0.517
Mg: 0.022 0.517 0.022
Mg: 0.176 0.665 0.665
Mg: 0.316 0.316 0.839
Mg: 0.316 0.839 0.316
Mg: 0.365 0.673 0.975
Mg: 0.365 0.975 0.673
Mg: 0.517 0.022 0.022
Mg: 0.573 0.573 0.573
Mg: 0.665 0.176 0.665
Mg: 0.665 0.665 0.176
Mg: 0.673 0.365 0.975
Mg: 0.673 0.975 0.365
Mg: 0.772 0.772 0.772
Mg: 0.839 0.316 0.316
Mg: 0.975 0.365 0.673
Mg: 0.975 0.673 0.365


Entry 2:
VASP calculation (PBE) on Tb4Nd2Ho2Mg after structural relaxation.

## Properties
* M_tot: 0.00 μB/cell
* V: 290.74 Å³/cell
* calculated formation energy: 96 meV per atom

Cell lengths 6.453, 6.466, 7.525 Å; angles 74.28, 74.17, 85.26 degrees
Fractional positions:
Tb: 0.169 0.319 0.404
Tb: 0.314 0.868 0.221
Tb: 0.686 0.132 0.779
Tb: 0.831 0.681 0.596
Nd: 0.133 0.295 0.884
Nd: 0.867 0.705 0.116
Ho: 0.295 0.836 0.695
Ho: 0.705 0.164 0.305
Mg: 0.500 0.500 0.000


Entry 3:
VASP calculation (PBE) on Ac3ZrB2N6 after structural relaxation.

## Properties
* raw total energy: -98.5 eV per cell
* M_tot: 0.00 μB/cell
* V: 185.84 Å³/cell

Cell lengths 5.631, 5.631, 6.768 Å; angles 90.00, 90.00, 120.00 degrees
Fractional positions:
Ac: 0.000 0.000 0.000
Ac: 0.333 0.667 0.677
Ac: 0.667 0.333 0.323
Zr: 0.000 0.000 0.500
B: 0.333 0.667 0.273
B: 0.667 0.333 0.727
N: 0.183 0.365 0.299
N: 0.183 0.817 0.299
N: 0.365 0.183 0.701
N: 0.635 0.817 0.299
N: 0.817 0.183 0.701
N: 0.817 0.635 0.701


Entry 4:
VASP calculation (PBE) on BiPd3Rh after structural relaxation.

## Properties
* M_tot: 2.20 μB/cell
* V: 113.34 Å³/cell
* calculated formation energy: 811 meV per atom
* E above lowest polymorph: 0 meV/atom

Cell lengths 4.839, 4.839, 4.839 Å; angles 90.00, 90.00, 90.00 degrees
Fractional positions:
Bi: 0.000 0.000 0.000
Pd: 0.000 0.500 0.500
Pd: 0.500 0.000 0.500
Pd: 0.500 0.500 0.000
Rh: 0.500 0.500 0.500


Entry 5:
VASP calculation (PBE) on CsDyAu2 after structural relaxation.

## Properties
* M_tot: 0.00 μB/cell
* V: 122.11 Å³/cell
* calculated formation energy: -529 meV per atom

Cell lengths 3.776, 3.776, 8.566 Å; angles 90.00, 90.00, 90.00 degrees
Fractional positions:
Cs: 0.000 0.000 0.000
Dy: 0.000 0.000 0.500
Au: 0.500 0.500 0.328
Au: 0.500 0.500 0.672


Entry 6:
VASP calculation (PBE) on Ag2Au2Cl7 after structural relaxation.

## Properties
* M_tot: 0.00 μB/cell
* V: 715.89 Å³/cell
* E above lowest polymorph: 0 meV/atom

Cell lengths 6.871, 6.871, 15.313 Å; angles 94.44, 94.44, 94.64 degrees
Fractional positions:
Ag: 0.148 0.772 0.526
Ag: 0.228 0.852 0.974
Ag: 0.772 0.148 0.026
Ag: 0.852 0.228 0.474
Au: 0.345 0.347 0.361
Au: 0.347 0.345 0.861
Au: 0.653 0.655 0.139
Au: 0.655 0.653 0.639
Cl: 0.085 0.545 0.384
Cl: 0.128 0.218 0.964
Cl: 0.157 0.610 0.843
Cl: 0.218 0.128 0.464
Cl: 0.390 0.843 0.657
Cl: 0.434 0.566 0.250
Cl: 0.455 0.915 0.116
Cl: 0.545 0.085 0.884
Cl: 0.566 0.434 0.750
Cl: 0.610 0.157 0.343
Cl: 0.782 0.872 0.536
Cl: 0.843 0.390 0.157
Cl: 0.872 0.782 0.036
Cl: 0.915 0.455 0.616


Entry 7:
VASP calculation (PBE) on SrPrS2F after structural relaxation.

## Properties
* raw total energy: -58.8 eV per cell
* M_tot: 0.00 μB/cell
* V: 240.98 Å³/cell

Cell lengths 4.088, 4.088, 14.422 Å; angles 90.00, 90.00, 90.00 degrees
Fractional positions:
Sr: 0.250 0.250 0.100
Sr: 0.750 0.750 0.900
Pr: 0.250 0.250 0.626
Pr: 0.750 0.750 0.374
S: 0.250 0.250 0.407
S: 0.250 0.250 0.806
S: 0.750 0.750 0.194
S: 0.750 0.750 0.593
F: 0.250 0.750 0.000
F: 0.750 0.250 0.000


Entry 8:
VASP calculation (PBE) on BaZr2Pb after structural relaxation.

## Properties
* M_tot: 0.00 μB/cell
* V: 112.45 Å³/cell
* calculated formation energy: 345 meV per atom

Cell lengths 3.399, 5.509, 6.005 Å; angles 90.00, 90.00, 90.00 degrees
Fractional positions:
Ba: 0.000 0.000 0.000
Zr: 0.000 0.500 0.500
Zr: 0.500 0.500 0.000
Pb: 0.500 0.000 0.500


Entry 9:
VASP calculation (PBE) on AcTbHo2Se4 after structural relaxation.

## Properties
* raw total energy: -45.8 eV per cell
* M_tot: 0.00 μB/cell
* V: 205.80 Å³/cell

Cell lengths 7.151, 4.088, 7.420 Å; angles 90.00, 108.44, 90.00 degrees
Fractional positions:
Ac: 0.000 0.000 0.000
Tb: 0.500 0.500 0.000
Ho: 0.000 0.500 0.500
Ho: 0.500 0.000 0.500
Se: 0.256 0.000 0.736
Se: 0.268 0.500 0.272
Se: 0.732 0.500 0.728
Se: 0.744 0.000 0.264


Entry 10:
VASP calculation (PBE) on ZrTc5 after structural relaxation.

## Properties
* M_tot: 0.00 μB/cell
* V: 94.74 Å³/cell
* calculated formation energy: 44 meV per atom
* E above lowest polymorph: 16 meV/atom

Cell lengths 5.291, 5.291, 6.722 Å; angles 106.45, 106.45, 31.79 degrees
Fractional positions:
Zr: 0.000 0.000 0.000
Tc: 0.279 0.279 0.087
Tc: 0.353 0.353 0.653
Tc: 0.656 0.656 0.736
Tc: 0.691 0.691 0.357
Tc: 0.973 0.973 0.424


Entry 11:
VASP calculation (PBE) on Pr8Tm3Th after structural relaxation.

## Properties
* M_tot: 0.00 μB/cell
* V: 412.93 Å³/cell
* calculated formation energy: 52 meV per atom

Cell lengths 10.500, 10.500, 11.079 Å; angles 90.33, 90.33, 19.76 degrees
Fractional positions:
Pr: 0.079 0.079 0.251
Pr: 0.093 0.093 0.747
Pr: 0.329 0.329 0.981
Pr: 0.330 0.330 0.521
Pr: 0.670 0.670 0.479
Pr: 0.671 0.671 0.019
Pr: 0.907 0.907 0.253
Pr: 0.921 0.921 0.749
Tm: 0.251 0.251 0.250
Tm: 0.500 0.500 0.000
Tm: 0.749 0.749 0.750
Th: 0.500 0.500 0.500


Entry 12:
VASP calculation (PBE) on LaSnTe2I after structural relaxation.

## Properties
* M_tot: 0.26 μB/cell
* V: 194.31 Å³/cell
* E above lowest polymorph: 39 meV/atom

Cell lengths 5.831, 5.831, 5.714 Å; angles 90.00, 90.00, 90.00 degrees
Fractional positions:
La: 0.000 0.000 0.000
Sn: 0.500 0.500 0.500
Te: 0.000 0.500 0.500
Te: 0.500 0.000 0.500
I: 0.500 0.500 0.000


Entry 13:
VASP calculation (PBE) on CrWS3 after structural relaxation.

## Properties
* M_tot: 0.89 μB/cell
* V: 101.15 Å³/cell
* E above lowest polymorph: 11 meV/atom

Cell lengths 4.659, 4.659, 4.659 Å; angles 90.00, 90.00, 90.00 degrees
Fractional positions:
Cr: 0.000 0.000 0.000
W: 0.500 0.500 0.500
S: 0.000 0.500 0.500
S: 0.500 0.000 0.500
S: 0.500 0.500 0.000


Entry 14:
VASP calculation (PBE) on PuGaCl4 after structural relaxation.

## Properties
* M_tot: 10.00 μB/cell
* V: 403.64 Å³/cell
* E above lowest polymorph: 10 meV/atom

Cell lengths 5.432, 8.732, 8.548 Å; angles 90.00, 95.39, 90.00 degrees
Fractional positions:
Pu: 0.032 0.250 0.102
Pu: 0.968 0.750 0.898
Ga: 0.262 0.750 0.407
Ga: 0.738 0.250 0.593
Cl: 0.002 0.564 0.176
Cl: 0.002 0.936 0.176
Cl: 0.120 0.250 0.422
Cl: 0.468 0.750 0.898
Cl: 0.532 0.250 0.102
Cl: 0.880 0.750 0.578
Cl: 0.998 0.064 0.824
Cl: 0.998 0.436 0.824


Entry 15:
VASP calculation (PBE) on SrTaAg2B after structural relaxation.

## Properties
* M_tot: 0.42 μB/cell
* V: 97.28 Å³/cell
* calculated formation energy: 426 meV per atom

Cell lengths 4.656, 4.656, 4.488 Å; angles 90.00, 90.00, 90.00 degrees
Fractional positions:
Sr: 0.000 0.000 0.000
Ta: 0.500 0.500 0.000
Ag: 0.000 0.500 0.500
Ag: 0.500 0.000 0.500
B: 0.500 0.500 0.500


Entry 16:
VASP calculation (PBE) on KBa2Ni after structural relaxation.

## Properties
* M_tot: 0.00 μB/cell
* V: 201.30 Å³/cell
* calculated formation energy: 38 meV per atom
* E above lowest polymorph: 0 meV/atom

Cell lengths 4.537, 4.537, 11.577 Å; angles 100.93, 100.93, 59.95 degrees
Fractional positions:
K: 0.000 0.000 0.000
Ba: 0.214 0.214 0.648
Ba: 0.786 0.786 0.352
Ni: 0.500 0.500 0.500


Entry 17:
VASP calculation (PBE) on NaAc2Co after structural relaxation.

## Properties
* M_tot: 0.00 μB/cell
* V: 163.42 Å³/cell
* calculated formation energy: 54 meV per atom
* E above lowest polymorph: 65 meV/atom

Cell lengths 11.145, 11.145, 11.145 Å; angles 21.53, 21.53, 21.53 degrees
Fractional positions:
Na: 0.000 0.000 0.000
Ac: 0.119 0.119 0.119
Ac: 0.881 0.881 0.881
Co: 0.500 0.500 0.500


Entry 18:
VASP calculation (PBE) on KCaHfSe2 after structural relaxation.

## Properties
* raw total energy: -16.2 eV per cell
* M_tot: 2.10 μB/cell
* V: 160.41 Å³/cell

Cell lengths 5.630, 5.630, 5.061 Å; angles 90.00, 90.00, 90.00 degrees
Fractional positions:
K: 0.000 0.000 0.000
Ca: 0.500 0.500 0.500
Hf: 0.000 0.000 0.500
Se: 0.000 0.500 0.000
Se: 0.500 0.000 0.000


Entry 19:
VASP calculation (PBE) on AlAsRhBr2 after structural relaxation.

## Properties
* M_tot: 1.30 μB/cell
* V: 121.12 Å³/cell
* E above lowest polymorph: 406 meV/atom

Cell lengths 4.887, 4.887, 5.072 Å; angles 90.00, 90.00, 90.00 degrees
Fractional positions:
Al: 0.000 0.000 0.000
As: 0.000 0.000 0.500
Rh: 0.500 0.500 0.500
Br: 0.000 0.500 0.000
Br: 0.500 0.000 0.000


Entry 20:
VASP calculation (PBE) on LiHfU2N4 after structural relaxation.

## Properties
* raw total energy: -77.8 eV per cell
* M_tot: 3.02 μB/cell
* V: 104.50 Å³/cell

Cell lengths 5.734, 3.345, 5.779 Å; angles 90.00, 109.50, 90.00 degrees
Fractional positions:
Li: 0.000 0.000 0.000
Hf: 0.000 0.500 0.500
U: 0.500 0.000 0.500
U: 0.500 0.500 0.000
N: 0.235 0.000 0.737
N: 0.260 0.500 0.275
N: 0.740 0.500 0.725
N: 0.765 0.000 0.263